(1)
DFT (PBE-GGA) results for La4CI6 after structural relaxation.

## Properties
Energy relative to the elements, uncorrected (meV/atom): -1172
E_tot (eV per cell): -102.3

```
data_La4CI6
_cell_length_a 10.4215
_cell_length_b 10.4215
_cell_length_c 8.3908
_cell_angle_alpha 90.00
_cell_angle_beta 90.00
_cell_angle_gamma 120.00
_symmetry_space_group_name_H-M 'P 63 m c'
_symmetry_Int_Tables_number 186
_symmetry_space_group_name_Hall 'P 6c -2c'
loop_
_atom_site_label
_atom_site_fract_x
_atom_site_fract_y
_atom_site_fract_z
_atom_site_occupancy
La1 0.2085 0.4171 0.0000 1
La2 0.3333 0.6667 0.3606 1
C1 0.3333 0.6667 0.0744 1
I1 0.0681 0.5341 0.6918 1
I2 0.1389 0.2778 0.3731 1
```

(2)
DFT (PBE-GGA) results for CaWBr2 after structural relaxation.

## Properties
Energy relative to the elements, uncorrected (meV/atom): 98
E_tot (eV per cell): -35.8
Relative energy among the computed polymorphs (meV/atom): 173.6

```
data_CaWBr2
_cell_length_a 14.386
_cell_length_b 3.273
_cell_length_c 5.434
_cell_angle_alpha 90.00
_cell_angle_beta 91.80
_cell_angle_gamma 90.00
_symmetry_space_group_name_H-M 'C 1 2/m 1'
_symmetry_Int_Tables_number 12
loop_
_symmetry_equiv_pos_as_xyz
'x,y,z'
'-x,-y,-z'
'-x,y,-z'
'x,-y,z'
'x+1/2,y+1/2,z'
'-x+1/2,-y+1/2,-z'
'-x+1/2,y+1/2,-z'
'x+1/2,-y+1/2,z'
loop_
_atom_site_label
_atom_site_fract_x
_atom_site_fract_y
_atom_site_fract_z
_atom_site_occupancy
Ca1 0.000 0.000 0.000 1
W1 0.000 0.500 0.500 1
Br1 0.147 0.500 0.755 1
```

(3)
DFT (PBE-GGA) results for Zr2TaTlV after structural relaxation.

## Properties
E_tot (eV per cell): -36.7
Formation energy (eV/atom): 0.74

```
data_Zr2TaTlV
_cell_length_a 4.966
_cell_length_b 4.966
_cell_length_c 4.627
_cell_angle_alpha 90.00
_cell_angle_beta 90.00
_cell_angle_gamma 90.00
_symmetry_space_group_name_H-M 'P 4/m m m'
_symmetry_Int_Tables_number 123
_symmetry_space_group_name_Hall '-P 4 2'
loop_
_atom_site_label
_atom_site_fract_x
_atom_site_fract_y
_atom_site_fract_z
_atom_site_occupancy
Zr1 0.000 0.500 0.000 1
Ta1 0.000 0.000 0.500 1
Tl1 0.500 0.500 0.500 1
V1 0.000 0.000 0.000 1
```

(4)
DFT (PBE-GGA) results for LiAc3Pd6Au2 after structural relaxation.

## Properties
E_tot (eV per cell): -60.2
Formation energy (eV/atom): -0.68

```
data_LiAc3Pd6Au2
_cell_length_a 5.8295
_cell_length_b 5.8295
_cell_length_c 8.9722
_cell_angle_alpha 90.00
_cell_angle_beta 90.00
_cell_angle_gamma 120.00
_symmetry_space_group_name_H-M 'P -3 m 1'
_symmetry_Int_Tables_number 164
_symmetry_space_group_name_Hall '-P 3 2"'
loop_
_atom_site_label
_atom_site_fract_x
_atom_site_fract_y
_atom_site_fract_z
_atom_site_occupancy
Li1 0.0000 0.0000 0.0000 1
Ac1 0.0000 0.0000 0.5000 1
Ac2 0.3333 0.6667 0.1294 1
Pd1 0.1710 0.3420 0.7876 1
Au1 0.3333 0.6667 0.5229 1
```

(5)
DFT (PBE-GGA) results for La3RuSe2 after structural relaxation.

## Properties
Energy relative to the elements, uncorrected (meV/atom): -1371
E_tot (eV per cell): -628.1

```
data_La3RuSe2
_cell_length_a 8.696
_cell_length_b 12.235
_cell_length_c 25.561
_cell_angle_alpha 90.00
_cell_angle_beta 90.00
_cell_angle_gamma 90.00
_symmetry_space_group_name_H-M 'F d d d'
_symmetry_Int_Tables_number 70
loop_
_symmetry_equiv_pos_as_xyz
'x,y,z'
'-x,-y,-z'
'-x+1/4,-y+1/4,z'
'x+1/4,y+1/4,-z'
'x,-y+1/4,-z+1/4'
'-x,y+1/4,z+1/4'
'-x+1/4,y,-z+1/4'
'x+1/4,-y,z+1/4'
'x,y+1/2,z+1/2'
'-x,-y+1/2,-z+1/2'
'-x+1/4,-y+3/4,z+1/2'
'x+1/4,y+3/4,-z+1/2'
'x,-y+3/4,-z+3/4'
'-x,y+3/4,z+3/4'
'-x+1/4,y+1/2,-z+3/4'
'x+1/4,-y+1/2,z+3/4'
'x+1/2,y,z+1/2'
'-x+1/2,-y,-z+1/2'
'-x+3/4,-y+1/4,z+1/2'
'x+3/4,y+1/4,-z+1/2'
'x+1/2,-y+1/4,-z+3/4'
'-x+1/2,y+1/4,z+3/4'
'-x+3/4,y,-z+3/4'
'x+3/4,-y,z+3/4'
'x+1/2,y+1/2,z'
'-x+1/2,-y+1/2,-z'
'-x+3/4,-y+3/4,z'
'x+3/4,y+3/4,-z'
'x+1/2,-y+3/4,-z+1/4'
'-x+1/2,y+3/4,z+1/4'
'-x+3/4,y+1/2,-z+1/4'
'x+3/4,-y+1/2,z+1/4'
loop_
_atom_site_label
_atom_site_fract_x
_atom_site_fract_y
_atom_site_fract_z
_atom_site_occupancy
La1 0.102 0.375 0.375 1
La2 0.111 0.365 0.214 1
Ru1 0.125 0.125 0.041 1
Se1 0.125 0.125 0.378 1
Se2 0.125 0.125 0.545 1
```

(6)
DFT (PBE-GGA) results for TmThMg after structural relaxation.

## Properties
E_tot (eV per cell): -26.9
Formation energy (eV/atom): 0.01
Relative energy among the computed polymorphs (meV/atom): 25.6

```
data_TmThMg
_cell_length_a 3.531
_cell_length_b 3.531
_cell_length_c 14.063
_cell_angle_alpha 90.00
_cell_angle_beta 90.00
_cell_angle_gamma 90.00
_symmetry_space_group_name_H-M 'I 4 m m'
_symmetry_Int_Tables_number 107
_symmetry_space_group_name_Hall 'I 4 -2'
loop_
_atom_site_label
_atom_site_fract_x
_atom_site_fract_y
_atom_site_fract_z
_atom_site_occupancy
Tm1 0.000 0.000 0.000 1
Th1 0.000 0.000 0.674 1
Mg1 0.000 0.000 0.344 1
```

(7)
DFT (PBE-GGA) results for Ba2CdSn4Au3 after structural relaxation.

## Properties
E_tot (eV per cell): -36.2
Formation energy (eV/atom): -0.56

```
data_Ba2CdSn4Au3
_cell_length_a 4.859
_cell_length_b 4.859
_cell_length_c 11.669
_cell_angle_alpha 90.00
_cell_angle_beta 90.00
_cell_angle_gamma 90.00
_symmetry_space_group_name_H-M 'P -4 m 2'
_symmetry_Int_Tables_number 115
loop_
_symmetry_equiv_pos_as_xyz
'x,y,z'
'y,-x,-z'
'-x,-y,z'
'-y,x,-z'
'-x,y,z'
'-y,-x,-z'
'x,-y,z'
'y,x,-z'
loop_
_atom_site_label
_atom_site_fract_x
_atom_site_fract_y
_atom_site_fract_z
_atom_site_occupancy
Ba1 0.000 0.500 0.248 1
Cd1 0.500 0.500 0.000 1
Sn1 0.000 0.000 0.500 1
Sn2 0.000 0.500 0.865 1
Sn3 0.500 0.500 0.500 1
Au1 0.000 0.000 0.000 1
Au2 0.000 0.500 0.629 1
```

(8)
DFT (PBE-GGA) results for TiInRh2 after structural relaxation.

## Properties
E_tot (eV per cell): -27.7
Formation energy (eV/atom): -0.58

```
data_TiInRh2
_cell_length_a 4.453
_cell_length_b 4.453
_cell_length_c 3.219
_cell_angle_alpha 90.00
_cell_angle_beta 90.00
_cell_angle_gamma 90.00
_symmetry_space_group_name_H-M 'P 4/m m m'
_symmetry_Int_Tables_number 123
_symmetry_space_group_name_Hall '-P 4 2'
loop_
_atom_site_label
_atom_site_fract_x
_atom_site_fract_y
_atom_site_fract_z
_atom_site_occupancy
Ti1 0.000 0.000 0.000 1
In1 0.500 0.500 0.000 1
Rh1 0.000 0.500 0.500 1
```